#w
{"formula": "Ba6Ag2N", "functional": "PBE", "state": "optimized geometry", "dos_at_fermi_per_ev_atom": 1.02, "magnetic_moment_mub_per_atom": 0.0001, "lattice_angstrom": [[7.810, -2.333, 0.000], [7.810, 2.333, 0.000], [-5.053, 0.000, 11.895]], "species": ["Ba", "Ba", "Ba", "Ba", "Ba", "Ba", "Ag", "Ag", "N"], "frac_coords": [[0.007, 0.007, 0.298], [0.175, 0.175, 0.598], [0.345, 0.345, 0.946], [0.655, 0.655, 0.054], [0.825, 0.825, 0.402], [0.993, 0.993, 0.702], [0.320, 0.320, 0.196], [0.680, 0.680, 0.804], [0.000, 0.000, 0.500]]}

#x
{"formula": "Ba6Ag2N", "functional": "PBE", "state": "optimized geometry", "dos_at_fermi_per_ev_atom": 0.90, "magnetic_moment_mub_per_atom": 0.0005, "lattice_angstrom": [[7.792, 0.000, 0.000], [0.000, 8.693, 0.000], [-7.582, 0.000, 11.204]], "species": ["Ba", "Ba", "Ba", "Ba", "Ba", "Ba", "Ba", "Ba", "Ba", "Ba", "Ba", "Ba", "Ag", "Ag", "Ag", "Ag", "N", "N"], "frac_coords": [[0.118, 0.028, 0.233], [0.118, 0.472, 0.733], [0.209, 0.710, 0.055], [0.209, 0.790, 0.555], [0.354, 0.162, 0.056], [0.354, 0.338, 0.556], [0.646, 0.662, 0.444], [0.646, 0.838, 0.944], [0.791, 0.210, 0.445], [0.791, 0.290, 0.945], [0.882, 0.528, 0.267], [0.882, 0.972, 0.767], [0.293, 0.103, 0.749], [0.293, 0.397, 0.249], [0.707, 0.603, 0.751], [0.707, 0.897, 0.251], [0.000, 0.000, 0.000], [0.000, 0.500, 0.500]]}

#x takes first place; second place is 12.5 kJ/mol of atoms up.

#w
{"formula": "Ba2AgRuN", "functional": "PBE", "state": "optimized geometry", "dos_at_fermi_per_ev_atom": 1.28, "magnetic_moment_mub_per_atom": 0.6009, "lattice_angstrom": [[6.202, 0.000, 0.000], [0.000, 6.202, 0.000], [0.000, 0.000, 4.884]], "species": ["Ba", "Ba", "Ag", "Ru", "N"], "frac_coords": [[0.000, 0.500, 0.000], [0.500, 0.000, 0.000], [0.000, 0.000, 0.000], [0.000, 0.000, 0.500], [0.500, 0.500, 0.500]]}

#x
{"formula": "Ba2AgRuN", "functional": "PBE", "state": "optimized geometry", "dos_at_fermi_per_ev_atom": 0.45, "magnetic_moment_mub_per_atom": 0.0000, "lattice_angstrom": [[5.865, 0.000, 0.000], [0.000, 5.865, 0.000], [0.000, 0.000, 3.822]], "species": ["Ba", "Ba", "Ag", "Ru", "N"], "frac_coords": [[0.000, 0.500, 0.000], [0.500, 0.000, 0.000], [0.000, 0.000, 0.500], [0.500, 0.500, 0.500], [0.500, 0.500, 0.000]]}

#x takes first place; second place is 157.1 kJ/mol of atoms up.

#w
{"formula": "BaAgSN2", "functional": "PBE", "state": "optimized geometry", "dos_at_fermi_per_ev_atom": 0.65, "magnetic_moment_mub_per_atom": 0.9994, "lattice_angstrom": [[5.204, 0.000, 0.000], [0.000, 5.204, 0.000], [0.000, 0.000, 6.148]], "species": ["Ba", "Ag", "S", "N", "N"], "frac_coords": [[0.000, 0.000, 0.000], [0.500, 0.500, 0.500], [0.000, 0.000, 0.500], [0.000, 0.500, 0.000], [0.500, 0.000, 0.000]]}

#x
{"formula": "BaAgSN2", "functional": "PBE", "state": "optimized geometry", "dos_at_fermi_per_ev_atom": 0.59, "magnetic_moment_mub_per_atom": 0.6407, "lattice_angstrom": [[4.414, 0.000, 0.000], [0.000, 4.414, 0.000], [0.000, 0.000, 5.103]], "species": ["Ba", "Ag", "S", "N", "N"], "frac_coords": [[0.000, 0.000, 0.000], [0.500, 0.500, 0.500], [0.500, 0.500, 0.000], [0.000, 0.500, 0.500], [0.500, 0.000, 0.500]]}

#y
{"formula": "BaAgSN2", "functional": "PBE", "state": "optimized geometry", "dos_at_fermi_per_ev_atom": 0.50, "magnetic_moment_mub_per_atom": 0.1862, "lattice_angstrom": [[4.463, 0.000, 0.000], [0.000, 4.463, 0.000], [0.000, 0.000, 4.498]], "species": ["Ba", "Ag", "S", "N", "N"], "frac_coords": [[0.000, 0.000, 0.000], [0.500, 0.500, 0.000], [0.500, 0.500, 0.500], [0.000, 0.500, 0.500], [0.500, 0.000, 0.500]]}

#x takes first place; second place is 26.6 kJ/mol of atoms up.

#w
{"formula": "BaAgSe2N", "functional": "PBE", "state": "optimized geometry", "dos_at_fermi_per_ev_atom": 1.18, "magnetic_moment_mub_per_atom": 0.7959, "lattice_angstrom": [[6.213, 0.000, 0.000], [0.000, 6.213, 0.000], [0.000, 0.000, 5.224]], "species": ["Ba", "Ag", "Se", "Se", "N"], "frac_coords": [[0.000, 0.000, 0.000], [0.500, 0.500, 0.500], [0.000, 0.500, 0.000], [0.500, 0.000, 0.000], [0.000, 0.000, 0.500]]}

#x
{"formula": "BaAgSe2N", "functional": "PBE", "state": "optimized geometry", "dos_at_fermi_per_ev_atom": 0.79, "magnetic_moment_mub_per_atom": 0.3692, "lattice_angstrom": [[5.380, 0.000, 0.000], [0.000, 5.380, 0.000], [0.000, 0.000, 4.259]], "species": ["Ba", "Ag", "Se", "Se", "N"], "frac_coords": [[0.000, 0.000, 0.000], [0.500, 0.500, 0.500], [0.000, 0.500, 0.500], [0.500, 0.000, 0.500], [0.500, 0.500, 0.000]]}

#x takes first place; second place is 88.1 kJ/mol of atoms up.

#w
{"formula": "Ba2NaAg2", "functional": "PBE", "state": "optimized geometry", "dos_at_fermi_per_ev_atom": 0.57, "magnetic_moment_mub_per_atom": 0.0000, "lattice_angstrom": [[2.459, -8.464, 0.000], [2.459, 8.464, 0.000], [0.000, 0.000, 4.554]], "species": ["Ba", "Ba", "Na", "Ag", "Ag"], "frac_coords": [[0.141, 0.859, 0.000], [0.859, 0.141, 0.000], [0.500, 0.500, 0.500], [0.298, 0.702, 0.500], [0.702, 0.298, 0.500]]}

#x
{"formula": "Ba2NaAg2", "functional": "PBE", "state": "optimized geometry", "dos_at_fermi_per_ev_atom": 0.84, "magnetic_moment_mub_per_atom": 0.0000, "lattice_angstrom": [[-2.047, 2.047, 11.430], [2.047, -2.047, 11.430], [2.047, 2.047, -11.430]], "species": ["Ba", "Ba", "Na", "Ag", "Ag"], "frac_coords": [[0.129, 0.129, 0.000], [0.871, 0.871, 0.000], [0.500, 0.500, 0.000], [0.250, 0.750, 0.500], [0.750, 0.250, 0.500]]}

#w takes first place; second place is 21.1 kJ/mol of atoms up.

#w
{"formula": "BaNa3Ag", "functional": "PBE", "state": "optimized geometry", "dos_at_fermi_per_ev_atom": 0.76, "magnetic_moment_mub_per_atom": 0.0000, "lattice_angstrom": [[5.805, 0.000, 0.000], [0.000, 5.805, 0.000], [0.000, 0.000, 5.805]], "species": ["Ba", "Na", "Na", "Na", "Ag"], "frac_coords": [[0.000, 0.000, 0.000], [0.000, 0.500, 0.500], [0.500, 0.000, 0.500], [0.500, 0.500, 0.000], [0.500, 0.500, 0.500]]}

#x
{"formula": "BaNa3Ag", "functional": "PBE", "state": "optimized geometry", "dos_at_fermi_per_ev_atom": 0.97, "magnetic_moment_mub_per_atom": 0.3394, "lattice_angstrom": [[7.101, 0.000, 0.000], [0.000, 7.101, 0.000], [0.000, 0.000, 7.101]], "species": ["Ba", "Na", "Na", "Na", "Ag"], "frac_coords": [[0.000, 0.000, 0.000], [0.000, 0.000, 0.500], [0.000, 0.500, 0.000], [0.500, 0.000, 0.000], [0.500, 0.500, 0.500]]}

#w takes first place; second place is 78.7 kJ/mol of atoms up.

#w
{"formula": "Ba7Na2Ag2", "functional": "PBE", "state": "optimized geometry", "dos_at_fermi_per_ev_atom": 1.02, "magnetic_moment_mub_per_atom": 0.0003, "lattice_angstrom": [[-2.284, 10.275, 5.928], [2.284, -10.275, 5.928], [2.284, 10.275, -5.928]], "species": ["Ba", "Ba", "Ba", "Ba", "Ba", "Ba", "Ba", "Na", "Na", "Ag", "Ag"], "frac_coords": [[0.000, 0.000, 0.000], [0.289, 0.428, 0.861], [0.305, 0.621, 0.684], [0.567, 0.428, 0.139], [0.616, 0.265, 0.351], [0.914, 0.265, 0.649], [0.938, 0.621, 0.316], [0.285, 0.785, 0.500], [0.648, 0.648, 0.000], [0.155, 0.916, 0.239], [0.678, 0.916, 0.761]]}

#x
{"formula": "Ba7Na2Ag2", "functional": "PBE", "state": "optimized geometry", "dos_at_fermi_per_ev_atom": 1.12, "magnetic_moment_mub_per_atom": 0.0000, "lattice_angstrom": [[4.959, -6.742, 0.000], [4.959, 6.742, 0.000], [0.000, 0.000, 8.621]], "species": ["Ba", "Ba", "Ba", "Ba", "Ba", "Ba", "Ba", "Na", "Na", "Ag", "Ag"], "frac_coords": [[0.000, 0.000, 0.000], [0.000, 0.500, 0.252], [0.000, 0.500, 0.748], [0.500, 0.000, 0.252], [0.500, 0.000, 0.748], [0.500, 0.500, 0.238], [0.500, 0.500, 0.762], [0.163, 0.163, 0.500], [0.837, 0.837, 0.500], [0.287, 0.713, 0.000], [0.713, 0.287, 0.000]]}

#w takes first place; second place is 4.4 kJ/mol of atoms up.

#w
{"formula": "BaNa2Ag2", "functional": "PBE", "state": "optimized geometry", "dos_at_fermi_per_ev_atom": 0.41, "magnetic_moment_mub_per_atom": 0.0000, "lattice_angstrom": [[8.512, 0.000, 0.000], [0.000, 8.512, 0.000], [0.000, 0.000, 4.357]], "species": ["Ba", "Ba", "Na", "Na", "Na", "Na", "Ag", "Ag", "Ag", "Ag"], "frac_coords": [[0.000, 0.000, 0.000], [0.500, 0.500, 0.000], [0.152, 0.348, 0.500], [0.348, 0.848, 0.500], [0.652, 0.152, 0.500], [0.848, 0.652, 0.500], [0.120, 0.620, 0.000], [0.380, 0.120, 0.000], [0.620, 0.880, 0.000], [0.880, 0.380, 0.000]]}

#x
{"formula": "BaNa2Ag2", "functional": "PBE", "state": "optimized geometry", "dos_at_fermi_per_ev_atom": 0.38, "magnetic_moment_mub_per_atom": 0.0000, "lattice_angstrom": [[5.873, -2.419, 0.000], [5.873, 2.419, 0.000], [-1.594, 0.000, 5.846]], "species": ["Ba", "Na", "Na", "Ag", "Ag"], "frac_coords": [[0.000, 0.000, 0.000], [0.341, 0.341, 0.423], [0.659, 0.659, 0.577], [0.277, 0.277, 0.897], [0.723, 0.723, 0.103]]}

#y
{"formula": "BaNa2Ag2", "functional": "PBE", "state": "optimized geometry", "dos_at_fermi_per_ev_atom": 0.60, "magnetic_moment_mub_per_atom": 0.0000, "lattice_angstrom": [[-2.339, 2.339, 7.108], [2.339, -2.339, 7.108], [2.339, 2.339, -7.108]], "species": ["Ba", "Na", "Na", "Ag", "Ag"], "frac_coords": [[0.000, 0.000, 0.000], [0.250, 0.750, 0.500], [0.750, 0.250, 0.500], [0.401, 0.401, 0.000], [0.599, 0.599, 0.000]]}

#z
{"formula": "BaNa2Ag2", "functional": "PBE", "state": "optimized geometry", "dos_at_fermi_per_ev_atom": 0.57, "magnetic_moment_mub_per_atom": 0.0000, "lattice_angstrom": [[8.932, 0.000, 0.000], [0.000, 8.932, 0.000], [0.000, 0.000, 3.559]], "species": ["Ba", "Ba", "Na", "Na", "Na", "Na", "Ag", "Ag", "Ag", "Ag"], "frac_coords": [[0.000, 0.000, 0.000], [0.500, 0.500, 0.000], [0.118, 0.382, 0.000], [0.382, 0.882, 0.000], [0.618, 0.118, 0.000], [0.882, 0.618, 0.000], [0.181, 0.681, 0.500], [0.319, 0.181, 0.500], [0.681, 0.819, 0.500], [0.819, 0.319, 0.500]]}

#y takes first place; second place is 1.0 kJ/mol of atoms up.